Record 1
## Sc2CuRe (PBE)

Data for a relaxed structure of Sc2CuRe.

Output
**E_form**: 0.180 eV/atom
**Fermi-level density of states**: 5.54 states/eV per cell

```
data_Sc2CuRe
_cell_length_a 2.929
_cell_length_b 2.929
_cell_length_c 8.372
_cell_angle_alpha 90.00
_cell_angle_beta 90.00
_cell_angle_gamma 90.00
_symmetry_space_group_name_H-M 'P 4 m m'
_symmetry_Int_Tables_number 99
loop_
_symmetry_equiv_pos_as_xyz
'x,y,z'
'-y,x,z'
'-x,-y,z'
'y,-x,z'
'-x,y,z'
'y,x,z'
'x,-y,z'
'-y,-x,z'
loop_
_atom_site_label
_atom_site_type_symbol
_atom_site_fract_x
_atom_site_fract_y
_atom_site_fract_z
Sc1 Sc 0.000 0.000 0.000
Sc2 Sc 0.500 0.500 0.337
Cu1 Cu 0.000 0.000 0.560
Re1 Re 0.500 0.500 0.758
```

Record 2
## ScCu4Re (PBE)

Data for a relaxed structure of ScCu4Re.

Output
**E_form**: 0.084 eV/atom
**Fermi-level density of states**: 11.56 states/eV per cell

```
data_ScCu4Re
_cell_length_a 6.898
_cell_length_b 6.898
_cell_length_c 6.898
_cell_angle_alpha 90.00
_cell_angle_beta 90.00
_cell_angle_gamma 90.00
_symmetry_space_group_name_H-M 'F -4 3 m'
_symmetry_Int_Tables_number 216
_symmetry_space_group_name_Hall 'F -4 2 3'
loop_
_atom_site_label
_atom_site_type_symbol
_atom_site_fract_x
_atom_site_fract_y
_atom_site_fract_z
Sc1 Sc 0.000 0.000 0.000
Cu1 Cu 0.124 0.124 0.624
Re1 Re 0.250 0.250 0.250
```

Record 3
## ScTaCuRe (PBE)

Data for a relaxed structure of ScTaCuRe.

Output
**E_form**: -0.131 eV/atom
**Fermi-level density of states**: 13.21 states/eV per cell

```
data_ScTaCuRe
_cell_length_a 6.409
_cell_length_b 6.409
_cell_length_c 6.409
_cell_angle_alpha 90.00
_cell_angle_beta 90.00
_cell_angle_gamma 90.00
_symmetry_space_group_name_H-M 'F -4 3 m'
_symmetry_Int_Tables_number 216
_symmetry_space_group_name_Hall 'F -4 2 3'
loop_
_atom_site_label
_atom_site_type_symbol
_atom_site_fract_x
_atom_site_fract_y
_atom_site_fract_z
Sc1 Sc 0.000 0.000 0.000
Ta1 Ta 0.000 0.000 0.500
Cu1 Cu 0.250 0.250 0.750
Re1 Re 0.250 0.250 0.250
```

Record 4
## ScCu2ReTc (PBE)

Data for a relaxed structure of ScCu2ReTc.

Output
**E_form**: 1.014 eV/atom
**Fermi-level density of states**: 5.19 states/eV per cell

```
data_ScCu2ReTc
_cell_length_a 4.671
_cell_length_b 4.671
_cell_length_c 4.595
_cell_angle_alpha 90.00
_cell_angle_beta 90.00
_cell_angle_gamma 90.00
_symmetry_space_group_name_H-M 'P 4/m m m'
_symmetry_Int_Tables_number 123
_symmetry_space_group_name_Hall '-P 4 2'
loop_
_atom_site_label
_atom_site_type_symbol
_atom_site_fract_x
_atom_site_fract_y
_atom_site_fract_z
Sc1 Sc 0.000 0.000 0.000
Cu1 Cu 0.000 0.500 0.500
Re1 Re 0.500 0.500 0.500
Tc1 Tc 0.500 0.500 0.000
```